(one)
{"formula": "Th4AlGa", "functional": "PBE", "state": "relaxed", "sg": "P4/mcc", "magnetic_moment_mub_per_fu": 0.0, "dos_at_fermi_per_ev_cell": 15.6, "lattice_angstrom": [[5.8081, 0.0000, 0.0000], [0.0000, 7.6017, 0.0000], [0.0000, 0.0000, 7.6017]], "species": ["Th", "Th", "Th", "Th", "Th", "Th", "Th", "Th", "Al", "Al", "Ga", "Ga"], "fractional_positions": [[0.0000, 0.1565, 0.6590], [0.0000, 0.8435, 0.3410], [0.0000, 0.3410, 0.1565], [0.0000, 0.6590, 0.8435], [0.5000, 0.8435, 0.6590], [0.5000, 0.1565, 0.3410], [0.5000, 0.6590, 0.1565], [0.5000, 0.3410, 0.8435], [0.2500, 0.5000, 0.5000], [0.7500, 0.5000, 0.5000], [0.2500, 0.0000, 0.0000], [0.7500, 0.0000, 0.0000]]}

---

(two)
{"formula": "Th4AlGa", "functional": "PBE", "state": "relaxed", "sg": "I4/mcm", "magnetic_moment_mub_per_fu": 0.0, "dos_at_fermi_per_ev_cell": 11.0, "lattice_angstrom": [[-6.0855, -1.3608, -4.1134], [3.9373, -4.6968, -4.2712], [-0.4106, -1.6086, 7.9231]], "species": ["Th", "Th", "Th", "Th", "Th", "Th", "Th", "Th", "Al", "Al", "Ga", "Ga"], "fractional_positions": [[0.4769, 0.9769, 0.2672], [0.9769, 0.7902, 0.2672], [0.2902, 0.4769, 0.2672], [0.7098, 0.5231, 0.7328], [0.0231, 0.2098, 0.7328], [0.5231, 0.0231, 0.7328], [0.2098, 0.7098, 0.7328], [0.7902, 0.2902, 0.2672], [0.5000, 0.5000, 0.0000], [0.0000, 0.0000, 0.0000], [0.2500, 0.2500, 0.5000], [0.7500, 0.7500, 0.5000]]}

---

The calculated energies rank the structures as follows, beginning with the most stable: (one), (two).

---

(one)
{"formula": "Ti2AlGa3", "functional": "PBE", "state": "relaxed", "sg": "Cmmm", "magnetic_moment_mub_per_fu": 0.0, "dos_at_fermi_per_ev_cell": 2.9, "lattice_angstrom": [[3.6739, 0.0000, -1.1622], [0.0000, 4.0012, 0.0000], [0.0133, 0.0000, 6.4300]], "species": ["Ti", "Ti", "Al", "Ga", "Ga", "Ga"], "fractional_positions": [[0.1540, 0.5000, 0.3080], [0.8460, 0.5000, 0.6920], [0.0000, 0.0000, 0.0000], [0.3250, 0.0000, 0.6501], [0.6750, 0.0000, 0.3499], [0.5000, 0.5000, 0.0000]]}

---

(two)
{"formula": "Ti2AlGa3", "functional": "PBE", "state": "relaxed", "sg": "C2/m", "magnetic_moment_mub_per_fu": 0.0, "dos_at_fermi_per_ev_cell": 5.7, "lattice_angstrom": [[3.9020, 0.0000, 0.0000], [-1.9510, 6.0033, 0.0886], [0.0000, -2.1480, 8.6791]], "species": ["Ti", "Ti", "Ti", "Ti", "Al", "Al", "Ga", "Ga", "Ga", "Ga", "Ga", "Ga"], "fractional_positions": [[0.5587, 0.1174, 0.8744], [0.4413, 0.8826, 0.1256], [0.7620, 0.5241, 0.1183], [0.2380, 0.4759, 0.8817], [0.8976, 0.7953, 0.8927], [0.1024, 0.2047, 0.1073], [0.3546, 0.7092, 0.6399], [0.0282, 0.0565, 0.6474], [0.6927, 0.3855, 0.6535], [0.3073, 0.6145, 0.3465], [0.9718, 0.9435, 0.3526], [0.6454, 0.2908, 0.3601]]}

---

The calculated energies rank the structures as follows, beginning with the most stable: (one), (two).

---

(one)
{"formula": "Ti2Al2Ga", "functional": "PBE", "state": "relaxed", "sg": "P4/mbm", "magnetic_moment_mub_per_fu": 0.7, "dos_at_fermi_per_ev_cell": 7.3, "lattice_angstrom": [[-1.8436, -2.4117, -5.9221], [4.4827, -4.8827, 0.5929], [-2.7370, -2.2958, 1.7870]], "species": ["Al", "Al", "Al", "Al", "Ga", "Ga", "Ti", "Ti", "Ti", "Ti"], "fractional_positions": [[0.1497, 0.6497, 0.5000], [0.6497, 0.8503, 0.5000], [0.8503, 0.3503, 0.5000], [0.3503, 0.1497, 0.5000], [0.0000, 0.0000, 0.0000], [0.5000, 0.5000, 0.0000], [0.3509, 0.8509, 0.0000], [0.8509, 0.6491, 0.0000], [0.6491, 0.1491, 0.0000], [0.1491, 0.3509, 0.0000]]}

---

(two)
{"formula": "Ti2Al2Ga", "functional": "PBE", "state": "relaxed", "sg": "P4/mbm", "magnetic_moment_mub_per_fu": 0.0, "dos_at_fermi_per_ev_cell": 6.3, "lattice_angstrom": [[6.5711, 0.0000, 0.0000], [0.0000, 6.5711, 0.0000], [0.0000, 0.0000, 3.8548]], "species": ["Al", "Al", "Al", "Al", "Ga", "Ga", "Ti", "Ti", "Ti", "Ti"], "fractional_positions": [[0.3674, 0.8674, 0.0000], [0.8674, 0.6326, 0.0000], [0.6326, 0.1326, 0.0000], [0.1326, 0.3674, 0.0000], [0.0000, 0.0000, 0.0000], [0.5000, 0.5000, 0.0000], [0.1693, 0.6693, 0.5000], [0.6693, 0.8307, 0.5000], [0.8307, 0.3307, 0.5000], [0.3307, 0.1693, 0.5000]]}

---

The calculated energies rank the structures as follows, beginning with the most stable: (two), (one).

---

(one)
{"formula": "Ti3AlGa", "functional": "PBE", "state": "relaxed", "sg": "P6_3/mmc", "magnetic_moment_mub_per_fu": 0.0, "dos_at_fermi_per_ev_cell": 9.6, "lattice_angstrom": [[4.9949, 0.0000, 0.0000], [0.0000, 6.4415, 0.0000], [0.0000, -3.2190, 5.5795]], "species": ["Ti", "Ti", "Ti", "Ti", "Ti", "Ti", "Al", "Al", "Ga", "Ga"], "fractional_positions": [[0.2500, 0.8029, 0.1971], [0.7500, 0.1971, 0.8029], [0.2500, 0.8027, 0.6060], [0.7500, 0.1973, 0.3940], [0.2500, 0.3940, 0.1973], [0.7500, 0.6060, 0.8027], [0.0000, 0.0000, 0.0000], [0.5000, 0.0000, 0.0000], [0.2500, 0.3334, 0.6666], [0.7500, 0.6666, 0.3334]]}

---

(two)
{"formula": "Ti3AlGa", "functional": "PBE", "state": "relaxed", "sg": "Cmcm", "magnetic_moment_mub_per_fu": 0.0, "dos_at_fermi_per_ev_cell": 8.9, "lattice_angstrom": [[4.9372, 0.0000, 0.0000], [0.0000, 4.4495, -2.3605], [0.0000, 1.0643, 7.3800]], "species": ["Ti", "Ti", "Ti", "Ti", "Ti", "Ti", "Al", "Al", "Ga", "Ga"], "fractional_positions": [[0.7500, 0.9119, 0.3212], [0.7500, 0.4093, 0.3212], [0.2500, 0.5907, 0.6788], [0.2500, 0.0881, 0.6788], [0.0000, 0.0000, 0.0000], [0.5000, 0.0000, 0.0000], [0.7500, 0.4473, 0.8946], [0.2500, 0.5527, 0.1054], [0.7500, 0.8313, 0.6626], [0.2500, 0.1687, 0.3374]]}

---

(three)
{"formula": "Ti3AlGa", "functional": "PBE", "state": "relaxed", "sg": "Pm-3m", "magnetic_moment_mub_per_fu": 0.0, "dos_at_fermi_per_ev_cell": 5.4, "lattice_angstrom": [[-3.1997, 1.8838, 2.8417], [-1.6921, -4.2608, 0.9192], [2.9599, -0.3994, 3.5975]], "species": ["Al", "Ga", "Ti", "Ti", "Ti"], "fractional_positions": [[0.5000, 0.5000, 0.5000], [0.0000, 0.0000, 0.0000], [0.0000, 0.5000, 0.0000], [0.0000, 0.0000, 0.5000], [0.5000, 0.0000, 0.0000]]}

---

The calculated energies rank the structures as follows, beginning with the most stable: (two), (one), (three).